Entry 1:
The following is a DFT calculation (GGA-PBE) of crystalline SrCuSi2 at its relaxed geometry.

The structure in POSCAR format:
```
SrCuSi2
1.0
3.4062 0.0000 0.0000
0.0000 3.4062 0.0000
0.0000 0.0000 6.6783
Si Sr Cu
2 1 1
Direct
0.0000 0.0000 0.9234
0.0000 0.0000 0.5766
0.5000 0.5000 0.2500
0.5000 0.5000 0.7500
```

## Properties
Symmetry: P4/mmm, No. 123
Formation energy (no corrections): 0.01 eV/atom
V: 19.4 A^3/atom
Calculated density: 4.44 g cm⁻³

Entry 2:
The following is a DFT calculation (GGA-PBE) of crystalline Rb2CdGaAu2 at its relaxed geometry.

The structure in POSCAR format:
```
Rb2CdGaAu2
1.0
-2.8254 5.7340 -2.5914
-6.8229 -3.2278 0.2970
3.8866 1.3534 7.9368
Rb Ga Au Cd
4 2 4 2
Direct
0.8214 0.5586 0.6428
0.1786 0.4414 0.3572
0.6786 0.9158 0.3572
0.3214 0.0842 0.6428
0.2500 0.5000 0.0000
0.7500 0.5000 0.0000
0.5694 0.3438 0.1387
0.9306 0.2051 0.8613
0.0694 0.7949 0.1387
0.4306 0.6562 0.8613
0.7500 0.0000 0.0000
0.2500 0.0000 0.0000
```

## Properties
Symmetry: Ibam, No. 72
ΔH_f (0 K): -0.254 eV/atom
V: 31.8 A^3/atom
Calculated density: 6.49 g cm⁻³

Entry 3:
The following is a DFT calculation (GGA-PBE) of crystalline KCo2As at its relaxed geometry.

The structure in POSCAR format:
```
KCo2As
1.0
5.2978 -0.3212 -0.1502
1.1432 5.1829 0.1502
-2.2923 -3.6605 3.0883
K As Co
1 1 2
Direct
0.7500 0.2500 0.5000
0.2500 0.7500 0.5000
0.4039 0.4039 0.0000
0.0961 0.0961 0.0000
```

## Properties
Symmetry: Immm, No. 71
ΔH_f (0 K): 0.634 eV/atom
V: 22.0 A^3/atom
Calculated density: 4.39 g cm⁻³

no.,VASP energy (eV/atom)
1,-4.1490
2,-2.3260
3,-4.3562